A relaxed structure of Tb8Bi2Pd, computed with PBE-GGA.

Unit cell a=18.7986 b=4.8620 c=7.2129 alpha=90.00 beta=94.87 gamma=90.00
Space group C2/m (No. 12)
Inequivalent atoms, fractional coordinates:
Tb 0.0074 0.0000 0.2363 x4
Tb 0.0947 0.5000 0.5277 x4
Tb 0.1448 0.5000 0.0545 x4
Tb 0.2137 0.0000 0.3547 x4
Bi 0.1805 0.0000 0.7926 x4
Pd 0.0000 0.5000 0.0000 x2

* M_tot: 0.00 μB per formula unit
* raw total energy: -4.948 eV per atom
* formation energy: -0.40 eV/atom

A relaxed structure of Tb4Bi2Pd, computed with PBE-GGA.

Unit cell a=15.5722 b=4.3453 c=7.5858 alpha=90.00 beta=117.09 gamma=90.00
Space group C2/m (No. 12)
Inequivalent atoms, fractional coordinates:
Tb 0.1113 0.0000 0.4181 x4
Tb 0.1175 0.5000 0.9871 x4
Bi 0.2280 0.5000 0.7292 x4
Pd 0.0000 0.0000 0.0000 x2

* M_tot: 0.00 μB per formula unit
* raw total energy: -5.050 eV per atom
* formation energy: -0.55 eV/atom

A relaxed structure of Tb3BiPd, computed with PBE-GGA.

Unit cell a=15.7431 b=4.1898 c=8.6268 alpha=90.00 beta=91.97 gamma=90.00
Space group C2/m (No. 12)
Inequivalent atoms, fractional coordinates:
Tb 0.0444 0.0000 0.2065 x4
Tb 0.1049 0.5000 0.5494 x4
Tb 0.2480 0.5000 0.2109 x4
Bi 0.1108 0.5000 0.9290 x4
Pd 0.2012 0.0000 0.4219 x4

* M_tot: 0.00 μB per formula unit
* raw total energy: -5.249 eV per atom
* formation energy: -0.66 eV/atom

A relaxed structure of Tb8BiPd2, computed with PBE-GGA.

Unit cell a=8.6993 b=13.5468 c=5.6174 alpha=90.00 beta=105.24 gamma=90.00
Space group C2/m (No. 12)
Inequivalent atoms, fractional coordinates:
Tb 0.0000 0.2456 0.0000 x4
Tb 0.0997 0.5000 0.8014 x4
Tb 0.2074 0.1241 0.5873 x8
Bi 0.0000 0.0000 0.0000 x2
Pd 0.0000 0.3011 0.5000 x4

* M_tot: 0.43 μB per formula unit
* raw total energy: -5.038 eV per atom
* formation energy: -0.37 eV/atom

A relaxed structure of TbBiPd, computed with PBE-GGA.

Unit cell a=3.5482 b=3.5482 c=11.7587 alpha=90.00 beta=90.00 gamma=90.00
Space group I4mm (No. 107)
Inequivalent atoms, fractional coordinates:
Tb 0.0000 0.0000 0.0000 x2
Bi 0.0000 0.0000 0.2920 x2
Pd 0.0000 0.0000 0.6314 x2

* M_tot: 0.00 μB per formula unit
* raw total energy: -5.147 eV per atom
* formation energy: -0.58 eV/atom

A relaxed structure of Tb7Bi2Pd2, computed with PBE-GGA.

Unit cell a=8.7314 b=11.0505 c=7.0168 alpha=90.00 beta=90.00 gamma=90.00
Space group Cmmm (No. 65)
Inequivalent atoms, fractional coordinates:
Tb 0.0000 0.0000 0.0000 x2
Tb 0.0000 0.5000 0.2365 x4
Tb 0.2500 0.2500 0.2503 x8
Bi 0.1935 0.0000 0.5000 x4
Pd 0.0000 0.2791 0.0000 x4

* M_tot: 0.00 μB per formula unit
* raw total energy: -5.027 eV per atom
* formation energy: -0.43 eV/atom
* offset from the most stable computed form: 194 kJ/mol of formula units

A relaxed structure of Tb4BiPd2, computed with PBE-GGA.

Unit cell a=4.5816 b=4.5816 c=32.7140 alpha=90.00 beta=90.00 gamma=120.00
Space group R-3m (No. 166, hexagonal axes)
Inequivalent atoms, fractional coordinates:
Tb 0.0000 0.0000 0.1106 x6
Tb 0.0000 0.0000 0.3009 x6
Bi 0.0000 0.0000 0.5000 x3
Pd 0.0000 0.0000 0.3980 x6

* M_tot: 0.00 μB per formula unit
* raw total energy: -5.298 eV per atom
* formation energy: -0.61 eV/atom

A relaxed structure of Tb4BiPd15, computed with PBE-GGA.

Unit cell a=4.1305 b=4.1305 c=20.6910 alpha=90.00 beta=90.00 gamma=90.00
Space group P4/mmm (No. 123)
Inequivalent atoms, fractional coordinates:
Tb 0.0000 0.0000 0.0997 x2
Tb 0.0000 0.0000 0.2981 x2
Bi 0.0000 0.0000 0.5000 x1
Pd 0.0000 0.5000 0.0000 x2
Pd 0.0000 0.5000 0.2005 x4
Pd 0.0000 0.5000 0.4008 x4
Pd 0.5000 0.5000 0.1004 x2
Pd 0.5000 0.5000 0.3024 x2
Pd 0.5000 0.5000 0.5000 x1

* M_tot: 0.00 μB per formula unit
* raw total energy: -5.764 eV per atom
* formation energy: -0.75 eV/atom

A relaxed structure of TbBiPd, computed with PBE-GGA.

Unit cell a=6.7416 b=6.7416 c=6.7416 alpha=90.00 beta=90.00 gamma=90.00
Space group F-43m (No. 216)
Inequivalent atoms, fractional coordinates:
Tb 0.0000 0.0000 0.0000 x4
Bi 0.0000 0.0000 0.5000 x4
Pd 0.2500 0.2500 0.7500 x4

* M_tot: 0.00 μB per formula unit
* raw total energy: -5.512 eV per atom
* formation energy: -0.94 eV/atom

A relaxed structure of Tb2BiPd2, computed with PBE-GGA.

Unit cell a=7.8748 b=7.8748 c=3.7495 alpha=90.00 beta=90.00 gamma=90.00
Space group P4/mbm (No. 127)
Inequivalent atoms, fractional coordinates:
Tb 0.1717 0.3283 0.0000 x4
Bi 0.0000 0.0000 0.5000 x2
Pd 0.1244 0.6244 0.5000 x4

* M_tot: 0.00 μB per formula unit
* raw total energy: -5.585 eV per atom
* formation energy: -0.88 eV/atom

A relaxed structure of Tb4BiPd, computed with PBE-GGA.

Unit cell a=5.5548 b=20.2625 c=6.4031 alpha=90.00 beta=90.00 gamma=90.00
Space group Cmcm (No. 63)
Inequivalent atoms, fractional coordinates:
Tb 0.0000 0.0507 0.2500 x4
Tb 0.0000 0.2031 0.0018 x8
Tb 0.0000 0.3890 0.2500 x4
Bi 0.0000 0.3524 0.7500 x4
Pd 0.0000 0.0835 0.7500 x4

* M_tot: 0.00 μB per formula unit
* raw total energy: -5.033 eV per atom
* formation energy: -0.43 eV/atom
* offset from the most stable computed form: 75 kJ/mol of formula units

A relaxed structure of Tb7Bi2Pd2, computed with PBE-GGA.

Unit cell a=4.0041 b=15.9872 c=9.8813 alpha=90.00 beta=90.00 gamma=90.00
Space group Imm2 (No. 44)
Inequivalent atoms, fractional coordinates:
Tb 0.0000 0.0000 0.0000 x2
Tb 0.0000 0.1255 0.5786 x4
Tb 0.0000 0.3153 0.3731 x4
Tb 0.0000 0.3541 0.7277 x4
Bi 0.0000 0.0000 0.3294 x2
Bi 0.0000 0.5000 0.2390 x2
Pd 0.0000 0.2375 0.0642 x4

* M_tot: 0.00 μB per formula unit
* raw total energy: -5.210 eV per atom
* formation energy: -0.61 eV/atom
* offset from the most stable computed form: 0 kJ/mol of formula units

- Number 4 is which compound?
  Tb8BiPd2